1.
Entry from Alexandria via LeMat-Bulk: an optimized crystal structure of Dy4YErSc2 (PBE).

- volume (Å³ per atom) = 30.91
- E_form (meV/atom) = 446

abc: 9.2722 9.2723 11.4868
angles: 128.29 128.29 88.56
Last column: nearest neighbours and their distance in Å.
Fractional coordinates of all 16 atoms:
Dy 0.2638 0.2420 0.9927  3 Sc 3.10-3.23, 2 Dy 3.34, 1 Y 3.38, 2 Er 3.41-3.43
Er 0.0000 0.0000 0.0000  2 Er 3.33, 6 Dy 3.35-3.43
Dy 0.2669 0.7493 0.0080  3 Sc 3.12-3.29, 2 Dy 3.22-3.43, 2 Y 3.35, 1 Er 3.35
Y 0.0000 0.5000 0.0000  2 Sc 3.33, 6 Dy 3.35-3.38
Er 0.5000 0.5000 0.5000  2 Er 3.33, 6 Dy 3.35-3.43
Dy 0.2493 0.7668 0.5080  3 Sc 3.12-3.29, 2 Dy 3.22-3.43, 2 Y 3.35, 1 Er 3.35
Dy 0.7332 0.2507 0.9920  3 Sc 3.12-3.29, 2 Dy 3.22-3.43, 2 Y 3.35, 1 Er 3.35
Dy 0.2580 0.2362 0.5074  3 Sc 3.10-3.23, 2 Dy 3.34, 1 Y 3.38, 2 Er 3.41-3.43
Dy 0.7362 0.7580 0.0074  3 Sc 3.10-3.23, 2 Dy 3.34, 1 Y 3.38, 2 Er 3.41-3.43
Y 0.0000 0.5000 0.5000  2 Sc 3.33, 6 Dy 3.35-3.38
Dy 0.7420 0.7638 0.4926  3 Sc 3.10-3.23, 2 Dy 3.34, 1 Y 3.38, 2 Er 3.41-3.43
Sc 0.5000 0.5000 0.0000  6 Dy 3.12-3.23, 2 Sc 3.33
Sc 0.5000 0.0000 0.5000  6 Dy 3.10-3.29, 2 Y 3.33
Sc 0.5000 0.0000 0.0000  6 Dy 3.10-3.29, 2 Y 3.33
Sc 0.0000 0.0000 0.5000  6 Dy 3.12-3.23, 2 Sc 3.33
Dy 0.7507 0.2331 0.4920  3 Sc 3.12-3.29, 2 Dy 3.22-3.43, 2 Y 3.35, 1 Er 3.35

---

2.
Entry from Alexandria via LeMat-Bulk: an optimized crystal structure of Zr8SbH6 (PBE).

- volume (Å³ per atom) = 14.85

abc: 6.0908 6.0908 6.0908
angles: 95.44 95.44 95.44
Last column: nearest neighbours and their distance in Å.
Fractional coordinates of all 15 atoms:
Sb 0.0000 0.0000 0.0000  8 Zr 3.06-3.17
Zr 0.2374 0.5649 0.8986  3 H 2.03-2.09
H 0.5220 0.4329 0.8324  4 Zr 2.03-2.09, 1 H 2.18
Zr 0.4350 0.1014 0.7626  3 H 2.03-2.09
H 0.4329 0.8324 0.5220  4 Zr 2.03-2.09, 1 H 2.18
Zr 0.1014 0.7626 0.4350  3 H 2.03-2.09
Zr 0.7626 0.4350 0.1014  3 H 2.03-2.09
Zr 0.6779 0.6779 0.6779  3 H 2.05
H 0.8324 0.5220 0.4329  4 Zr 2.03-2.09, 1 H 2.18
Zr 0.8986 0.2374 0.5649  3 H 2.03-2.09
Zr 0.5649 0.8986 0.2374  3 H 2.03-2.09
H 0.1676 0.4780 0.5671  4 Zr 2.03-2.09, 1 H 2.18
H 0.5671 0.1676 0.4780  4 Zr 2.03-2.09, 1 H 2.18
Zr 0.3221 0.3221 0.3221  3 H 2.05
H 0.4780 0.5671 0.1676  4 Zr 2.03-2.09, 1 H 2.18

---

Listing uncorrected energy for the structures above in their given order: -4.817; -6.506 eV per atom.